# 1
Compound: ScTc2Ru
Source: Alexandria
Functional: GGA-PBE
Structure: relaxed

Summary:
Excess energy over the best structure of this formula in the dataset   0.129 eV per atom
ΔE_f   11.4 meV per atom

Unit cell a=2.789 b=4.472 c=5.078 alpha=90.00 beta=102.45 gamma=90.00
Fractional coordinates of all 4 atoms:
Sc  0.000  0.000  0.000
Tc  0.240  0.500  0.751
Tc  0.760  0.500  0.249
Ru  0.500  0.000  0.500

---

# 2
Compound: SmErIr2
Source: Alexandria
Functional: GGA-PBE
Structure: relaxed

Summary:
Excess energy over the best structure of this formula in the dataset   0.000 eV per atom
ΔE_f   -748.8 meV per atom

Unit cell a=4.961 b=3.330 c=9.942 alpha=90.00 beta=90.00 gamma=90.00
Fractional coordinates of all 8 atoms:
Sm  0.250  0.000  0.127
Sm  0.750  0.000  0.873
Er  0.250  0.000  0.622
Er  0.750  0.000  0.378
Ir  0.250  0.500  0.381
Ir  0.250  0.500  0.866
Ir  0.750  0.500  0.134
Ir  0.750  0.500  0.619

---

# 3
Compound: K2CrIn
Source: Alexandria
Functional: GGA-PBE
Structure: relaxed

Summary:
ΔE_f   477.8 meV per atom

Unit cell a=4.230 b=6.120 c=11.729 alpha=90.00 beta=90.00 gamma=90.00
Fractional coordinates of all 8 atoms:
K  0.000  0.000  0.000
K  0.000  0.500  0.202
K  0.500  0.000  0.702
K  0.500  0.500  0.500
Cr  0.000  0.500  0.776
Cr  0.500  0.000  0.276
In  0.000  0.000  0.430
In  0.500  0.500  0.930

---

# 4
Compound: KMg2Sb
Source: Alexandria
Functional: GGA-PBE
Structure: relaxed

Summary:
ΔE_f (raw)   -0.079 eV per atom

Unit cell a=9.202 b=3.484 c=8.133 alpha=90.00 beta=96.84 gamma=90.00
Fractional coordinates of all 8 atoms:
K  0.000  0.000  0.000
K  0.500  0.500  0.000
Mg  0.236  0.000  0.667
Mg  0.487  0.000  0.472
Mg  0.736  0.500  0.667
Mg  0.987  0.500  0.472
Sb  0.250  0.500  0.308
Sb  0.750  0.000  0.308